A plane-wave DFT calculation with PBE was carried out for a relaxed structure of NaYBi3.

```
NaYBi3
1.0
5.9413 0.0000 0.0000
0.0000 5.9413 0.0000
0.0000 0.0000 5.9413
Y Na Bi
1 1 3
direct
0.0000 0.0000 0.0000 Y
0.5000 0.5000 0.5000 Na
0.0000 0.5000 0.0000 Bi
0.0000 0.0000 0.5000 Bi
0.5000 0.0000 0.0000 Bi
```

- space-group type = No. 221
- uncorrected energy (eV per atom) = -3.8684
- crystal system = cubic
- energy of formation (eV/atom) = 0.0168